Entry 1:
Sr2ZrTa | GGA-PBE | relaxed

The structure in CIF format:
```
data_Sr2ZrTa
_space_group_name_H-M_alt 'P 1 2/m 1'
_space_group_IT_number 10
_cell_length_a 3.199
_cell_length_b 5.576
_cell_length_c 6.404
_cell_angle_alpha 90.00
_cell_angle_beta 90.30
_cell_angle_gamma 90.00
loop_
_space_group_symop_operation_xyz
'x,y,z'
'-x,-y,-z'
'-x,y,-z'
'x,-y,z'
loop_
_atom_site_label
_atom_site_type_symbol
_atom_site_fract_x
_atom_site_fract_y
_atom_site_fract_z
Sr1 Sr 0.001 0.000 0.245
Zr1 Zr 0.500 0.500 0.500
Ta1 Ta 0.500 0.500 0.000
```

Density of states at the Fermi level (states/eV/atom): 1.526
Offset from the most stable computed form (eV/atom): 0.521
Total DFT energy (no corrections) (eV per atom): -4.97
Calculated formation energy (eV per atom): 0.967

=====

Entry 2:
NaSrZrRh2 | GGA-PBE | relaxed

The structure in CIF format:
```
data_NaSrZrRh2
_space_group_name_H-M_alt 'P 4/m m m'
_space_group_IT_number 123
_space_group_name_Hall '-P 4 2'
_cell_length_a 4.901
_cell_length_b 4.901
_cell_length_c 5.950
_cell_angle_alpha 90.00
_cell_angle_beta 90.00
_cell_angle_gamma 90.00
loop_
_atom_site_label
_atom_site_type_symbol
_atom_site_fract_x
_atom_site_fract_y
_atom_site_fract_z
Na1 Na 0.000 0.000 0.000
Sr1 Sr 0.500 0.500 0.000
Zr1 Zr 0.500 0.500 0.500
Rh1 Rh 0.000 0.500 0.500
```

Density of states at the Fermi level (states/eV/atom): 1.236
Total DFT energy (no corrections) (eV per atom): -4.68
Calculated formation energy (eV per atom): 0.566

=====

M_tot / μB per cell: 1.6, 0.0